Below is an optimized crystal structure of ReAg2Rh, with properties calculated at the PBE-GGA level.

The structure in POSCAR format:
```
ReAg2Rh
1.0
4.9423 2.7151 0.0110
-4.9423 2.7151 0.0110
0.0000 1.2888 2.4036
Re Ag Rh
1 2 1
Cartesian
0.0000 3.3595 1.2128 Re
2.4711 1.3575 0.0055 Ag
-2.4711 1.3575 0.0055 Ag
0.0000 0.6444 1.2018 Rh
```

Output
SG = C2/m (12)
magnetization = 0.00 μB/cell
energy = -23.4 eV per formula unit
DFT formation energy = 2.13 eV/f.u.


Below is an optimized crystal structure of Re2AgRhW, with properties calculated at the PBE-GGA level.

The structure in POSCAR format:
```
Re2AgRhW
1.0
4.6812 0.0000 0.0000
0.0000 4.6861 0.0000
0.0000 0.0000 4.6812
Re Rh Ag W
2 1 1 1
Cartesian
0.0000 0.0000 2.3406 Re
2.3406 0.0000 0.0000 Re
0.0000 0.0000 0.0000 Rh
2.3406 2.3431 2.3406 Ag
0.0000 2.3431 0.0000 W
```

Output
SG = P4/mmm (123)
magnetization = 0.16 μB/cell
energy = -37.0 eV per formula unit
DFT formation energy = 11.07 eV/f.u.


Below is an optimized crystal structure of ReAgRu2, with properties calculated at the PBE-GGA level.

The structure in POSCAR format:
```
ReAgRu2
1.0
2.7128 0.0000 0.0000
0.0000 2.7128 0.0000
0.0000 0.0000 8.1839
Ag Re Ru
1 1 2
Cartesian
0.0000 0.0000 4.0664 Ag
1.3564 1.3564 6.2728 Re
0.0000 0.0000 0.0485 Ru
1.3564 1.3564 1.8881 Ru
```

Output
SG = P4mm (99)
magnetization = 0.00 μB/cell
energy = -32.3 eV per formula unit
DFT formation energy = 1.59 eV/f.u.


Below is an optimized crystal structure of Re2AgRu, with properties calculated at the PBE-GGA level.

The structure in POSCAR format:
```
Re2AgRu
1.0
4.9575 0.0040 0.0000
2.0234 4.5258 0.0000
-3.4904 -2.2649 2.6952
Ag Re Ru
1 2 1
Cartesian
2.4788 0.0020 1.3476 Ag
0.0000 0.0000 0.0000 Re
3.4904 2.2649 0.0000 Re
1.0117 2.2629 1.3476 Ru
```

Output
SG = I4/mmm (139)
magnetization = 0.00 μB/cell
energy = -34.7 eV per formula unit
DFT formation energy = 2.30 eV/f.u.


Below is an optimized crystal structure of ReAgRu2, with properties calculated at the PBE-GGA level.

The structure in POSCAR format:
```
ReAgRu2
1.0
-2.8140 -4.7215 -1.0983
1.6674 -3.6807 -3.8846
0.7798 2.8126 4.7853
Ag Re Ru
1 1 2
Cartesian
-0.5763 -4.2233 -2.5046 Ag
0.9704 -2.2897 -0.6501 Re
-1.1449 -8.3899 -4.9756 Ru
-1.3358 -3.2901 0.4584 Ru
```

Output
SG = Imm2 (44)
magnetization = 0.00 μB/cell
energy = -31.6 eV per formula unit
DFT formation energy = 2.28 eV/f.u.


Below is an optimized crystal structure of Re2AgRu, with properties calculated at the PBE-GGA level.

The structure in POSCAR format:
```
Re2AgRu
1.0
-0.4590 -4.3106 -0.9153
-1.4098 -2.7930 3.1372
-4.0446 -1.7868 -0.2797
Re Ag Ru
2 1 1
Cartesian
-1.4784 -2.2226 0.4855 Re
-4.4351 -6.6679 1.4566 Re
-2.9567 -4.4452 0.9711 Ag
0.0000 0.0000 0.0000 Ru
```

Output
SG = Fm-3m (225)
magnetization = 0.00 μB/cell
energy = -33.3 eV per formula unit
DFT formation energy = 3.68 eV/f.u.


Below is an optimized crystal structure of ReAgRu3, with properties calculated at the PBE-GGA level.

The structure in POSCAR format:
```
ReAgRu3
1.0
-3.9047 0.9649 -2.3941
2.0210 -1.5579 -3.9240
-1.6057 -4.3071 0.8830
Re Ag Ru
1 1 3
Cartesian
0.0000 0.0000 0.0000 Re
-1.7447 -2.4500 -2.7176 Ag
1.0105 -0.7789 -1.9620 Ru
-0.8029 -2.1536 0.4415 Ru
-1.9523 0.4824 -1.1970 Ru
```

Output
SG = Pm-3m (221)
magnetization = 1.72 μB/cell
energy = -35.2 eV per formula unit
DFT formation energy = 7.96 eV/f.u.


Below is an optimized crystal structure of ReAgRu2, with properties calculated at the PBE-GGA level.

The structure in POSCAR format:
```
ReAgRu2
1.0
2.7820 0.0000 0.0000
0.0000 4.7362 0.0000
0.0000 0.0000 4.6138
Ag Re Ru
1 1 2
Cartesian
1.3910 0.0000 2.3069 Ag
0.0000 2.3681 2.3069 Re
0.0000 0.0000 0.0000 Ru
1.3910 2.3681 0.0000 Ru
```

Output
SG = Pmmm (47)
magnetization = 0.02 μB/cell
energy = -30.8 eV per formula unit
DFT formation energy = 3.03 eV/f.u.


Below is an optimized crystal structure of ReAgRu2, with properties calculated at the PBE-GGA level.

The structure in POSCAR format:
```
ReAgRu2
1.0
9.3670 -0.0055 -0.0032
8.9641 2.7179 -0.0032
8.9641 1.3264 2.3723
Ag Re Ru
1 1 2
Cartesian
13.6690 2.0225 1.1847 Ag
20.2896 3.0021 1.7586 Re
27.2936 4.0385 2.3656 Ru
6.9857 1.0336 0.6055 Ru
```

Output
SG = R3m (160)
magnetization = 0.00 μB/cell
energy = -32.7 eV per formula unit
DFT formation energy = 1.19 eV/f.u.


Below is an optimized crystal structure of ReAgRu, with properties calculated at the PBE-GGA level.

The structure in POSCAR format:
```
ReAgRu
1.0
-0.7785 3.8022 -1.7183
-3.0783 2.4551 1.5849
0.9901 3.5348 2.1308
Ag Re Ru
1 1 1
Cartesian
0.0000 0.0000 0.0000 Ag
-1.4333 4.8960 0.9987 Re
-2.1500 7.3440 1.4980 Ru
```

Output
SG = F-43m (216)
magnetization = 0.00 μB/cell
energy = -21.6 eV per formula unit
DFT formation energy = 3.01 eV/f.u.


Below is an optimized crystal structure of Re2AgRu, with properties calculated at the PBE-GGA level.

The structure in POSCAR format:
```
Re2AgRu
1.0
-2.1630 -4.1891 1.1945
0.5950 0.4415 -4.8068
2.4582 -1.2151 0.1922
Ag Re Ru
1 2 1
Cartesian
1.5266 -0.3868 -2.3073 Ag
0.0000 0.0000 0.0000 Re
-0.7840 -1.8738 -1.8061 Re
0.1476 -2.7021 0.6933 Ru
```

Output
SG = Cmmm (65)
magnetization = 0.00 μB/cell
energy = -34.9 eV per formula unit
DFT formation energy = 2.14 eV/f.u.


Below is an optimized crystal structure of ReAg4Ru, with properties calculated at the PBE-GGA level.

The structure in POSCAR format:
```
ReAg4Ru
1.0
0.0000 3.7054 3.7054
3.7054 0.0000 3.7054
3.7054 3.7054 0.0000
Re Ag Ru
1 4 1
Cartesian
1.8527 1.8527 1.8527 Re
2.7791 2.7791 4.6318 Ag
2.7791 4.6318 2.7791 Ag
4.6318 4.6318 4.6318 Ag
4.6318 2.7791 2.7791 Ag
0.0000 0.0000 0.0000 Ru
```

Output
SG = F-43m (216)
magnetization = 0.98 μB/cell
energy = -27.1 eV per formula unit
DFT formation energy = 6.07 eV/f.u.


Below is an optimized crystal structure of Re2AgRu, with properties calculated at the PBE-GGA level.

The structure in POSCAR format:
```
Re2AgRu
1.0
-2.3291 1.2760 3.9432
-3.4054 -3.2272 0.7680
4.6533 -0.5412 -0.8098
Ag Re Ru
1 2 1
Cartesian
-0.2715 -0.1204 2.7445 Ag
0.0000 0.0000 0.0000 Re
-0.8097 -2.3720 1.1569 Re
-2.8673 -0.9756 2.3556 Ru
```

Output
SG = I-4m2 (119)
magnetization = 0.00 μB/cell
energy = -34.9 eV per formula unit
DFT formation energy = 2.15 eV/f.u.


Below is an optimized crystal structure of ReAgRu, with properties calculated at the PBE-GGA level.

The structure in POSCAR format:
```
ReAgRu
1.0
7.5761 -0.0008 0.0005
6.8752 2.6198 0.0013
0.7010 -1.0597 2.3969
Ag Re Ru
1 1 1
Cartesian
0.7106 -1.0571 2.3952 Ag
5.1446 0.1291 1.6229 Re
9.9981 1.4276 0.7775 Ru
```

Output
SG = Fmm2 (42)
magnetization = 0.00 μB/cell
energy = -23.1 eV per formula unit
DFT formation energy = 1.44 eV/f.u.


Below is an optimized crystal structure of ReAgRu2, with properties calculated at the PBE-GGA level.

The structure in POSCAR format:
```
ReAgRu2
1.0
-1.6324 -1.2263 1.7715
2.6483 -0.4461 0.3069
0.5942 7.4548 5.7080
Ag Re Ru
1 1 2
Cartesian
0.6565 1.0275 2.4662 Ag
0.9536 4.7550 5.3202 Re
0.5849 7.3380 5.6185 Ru
0.3064 3.8443 2.9435 Ru
```

Output
SG = Cmmm (65)
magnetization = 0.00 μB/cell
energy = -32.1 eV per formula unit
DFT formation energy = 1.75 eV/f.u.


Below is an optimized crystal structure of Re2AgRu, with properties calculated at the PBE-GGA level.

The structure in POSCAR format:
```
Re2AgRu
1.0
-0.2563 -0.8075 2.6007
3.6720 -1.5036 -0.1050
2.0763 4.9490 1.7411
Ag Re Ru
1 2 1
Cartesian
3.2595 2.5429 2.5490 Ag
0.0465 0.1109 0.0390 Re
2.2293 0.0872 1.6851 Re
0.9949 2.3714 0.8343 Ru
```

Output
SG = Pmm2 (25)
magnetization = 0.00 μB/cell
energy = -35.4 eV per formula unit
DFT formation energy = 1.64 eV/f.u.


Below is an optimized crystal structure of Re2AgRu, with properties calculated at the PBE-GGA level.

The structure in POSCAR format:
```
Re2AgRu
1.0
-3.9876 -0.2535 0.5549
0.5473 -0.2504 3.8187
-0.2055 3.8501 0.2819
Ag Re Ru
1 2 1
Cartesian
-2.0965 1.7983 0.4184 Ag
0.0000 0.0000 0.0000 Re
0.1709 1.7998 2.0503 Re
-1.7201 -0.2519 2.1868 Ru
```

Output
SG = P4/mmm (123)
magnetization = 0.00 μB/cell
energy = -34.7 eV per formula unit
DFT formation energy = 2.37 eV/f.u.


Below is an optimized crystal structure of Re2AgRu2, with properties calculated at the PBE-GGA level.

The structure in POSCAR format:
```
Re2AgRu2
1.0
7.6267 0.0000 0.0000
0.0000 7.6267 0.0000
0.0000 0.0000 2.7418
Re Ag Ru
4 2 4
Cartesian
2.8876 6.7010 0.0000 Re
6.7010 4.7390 0.0000 Re
4.7390 0.9257 0.0000 Re
0.9257 2.8876 0.0000 Re
0.0000 0.0000 0.0000 Ag
3.8133 3.8133 0.0000 Ag
1.2691 5.0824 1.3709 Ru
5.0824 6.3576 1.3709 Ru
6.3576 2.5442 1.3709 Ru
2.5442 1.2691 1.3709 Ru
```

Output
SG = P4/mbm (127)
magnetization = 0.00 μB/cell
energy = -44.9 eV per formula unit
DFT formation energy = 1.43 eV/f.u.


Below is an optimized crystal structure of Re2AgRu, with properties calculated at the PBE-GGA level.

The structure in POSCAR format:
```
Re2AgRu
1.0
-4.0216 -2.1534 1.7984
-3.4085 -3.4826 -0.5463
1.9756 -3.5296 2.5174
Ag Re Ru
1 2 1
Cartesian
-1.3636 -2.2914 0.9424 Ag
1.8634 -3.5342 2.4907 Re
-2.6150 -4.5782 1.9115 Re
-4.0908 -6.8742 2.8271 Ru
```

Output
SG = C2/m (12)
magnetization = 0.00 μB/cell
energy = -35.3 eV per formula unit
DFT formation energy = 1.74 eV/f.u.


Below is an optimized crystal structure of ReAgRu2, with properties calculated at the PBE-GGA level.

The structure in POSCAR format:
```
ReAgRu2
1.0
4.6315 0.0000 0.0000
0.0000 4.6315 0.0000
0.0000 0.0000 2.8319
Ag Re Ru
1 1 2
Cartesian
2.3158 0.0000 1.4160 Ag
0.0000 2.3158 1.4160 Re
0.0000 0.0000 0.0000 Ru
2.3158 2.3158 0.0000 Ru
```

Output
SG = P4/mmm (123)
magnetization = 0.68 μB/cell
energy = -31.3 eV per formula unit
DFT formation energy = 2.54 eV/f.u.


Below is an optimized crystal structure of Re2AgRu, with properties calculated at the PBE-GGA level.

The structure in POSCAR format:
```
Re2AgRu
1.0
-1.9929 0.8669 1.6059
1.5839 -1.9322 1.0294
5.7788 6.6463 3.5837
Ag Re Ru
1 2 1
Cartesian
4.1166 4.4371 3.9973 Ag
0.0881 0.1013 0.0546 Re
1.2524 1.1428 2.2211 Re
2.8022 3.2228 1.7378 Ru
```

Output
SG = Cmm2 (35)
magnetization = 0.00 μB/cell
energy = -35.2 eV per formula unit
DFT formation energy = 1.80 eV/f.u.


Below is an optimized crystal structure of Re2AgRu2, with properties calculated at the PBE-GGA level.

The structure in POSCAR format:
```
Re2AgRu2
1.0
-2.0146 -5.6803 4.6120
7.2178 -0.7582 2.2190
-0.4334 1.7969 2.0238
Re Ag Ru
4 2 4
Cartesian
4.2501 -0.5423 3.2477 Re
4.4715 -3.5115 5.9315 Re
0.5197 -4.0993 5.6071 Re
0.2983 -1.1301 2.9233 Re
0.0000 0.0000 0.0000 Ag
2.6016 -3.2192 3.4155 Ag
5.5537 -2.7856 3.6627 Ru
2.7598 -5.4381 5.4194 Ru
-0.3505 -3.6529 3.1683 Ru
2.4435 -1.0004 1.4116 Ru
```

Output
SG = P4/mbm (127)
magnetization = 0.00 μB/cell
energy = -44.8 eV per formula unit
DFT formation energy = 1.54 eV/f.u.


Below is an optimized crystal structure of ReAgRu2, with properties calculated at the PBE-GGA level.

The structure in POSCAR format:
```
ReAgRu2
1.0
3.9585 0.0000 0.0000
0.0000 2.7431 0.0070
0.0000 2.7233 5.5894
Ag Re Ru
1 1 2
Cartesian
0.0000 2.7340 2.7759 Ag
1.9793 4.0979 4.3839 Re
0.0000 2.7239 5.5333 Ru
1.9793 1.3670 1.2908 Ru
```

Output
SG = Pmm2 (25)
magnetization = 0.00 μB/cell
energy = -32.1 eV per formula unit
DFT formation energy = 1.72 eV/f.u.


Below is an optimized crystal structure of Re2AgRu, with properties calculated at the PBE-GGA level.

The structure in POSCAR format:
```
Re2AgRu
1.0
-0.5053 -2.1973 -1.5975
3.6577 1.2052 -2.8148
5.2487 -1.7288 0.7175
Ag Re Ru
1 2 1
Cartesian
2.6243 -0.8644 0.3588 Ag
0.0000 0.0000 0.0000 Re
1.5762 -0.4960 -2.2061 Re
4.2005 -1.3604 -1.8473 Ru
```

Output
SG = P2/m (10)
magnetization = 0.00 μB/cell
energy = -35.0 eV per formula unit
DFT formation energy = 2.03 eV/f.u.


Below is an optimized crystal structure of Re2AgRu, with properties calculated at the PBE-GGA level.

The structure in POSCAR format:
```
Re2AgRu
1.0
5.6875 0.0238 -0.0031
3.1268 4.7509 0.0031
-3.8079 -3.4936 2.3754
Ag Re Ru
1 2 1
Cartesian
1.8630 1.8223 1.1893 Ag
8.5203 4.6155 0.0000 Re
4.7012 2.5466 0.0000 Re
3.1434 -0.5412 1.1862 Ru
```

Output
SG = Immm (71)
magnetization = 0.00 μB/cell
energy = -34.7 eV per formula unit
DFT formation energy = 2.29 eV/f.u.


Below is an optimized crystal structure of Re2AgRu, with properties calculated at the PBE-GGA level.

The structure in POSCAR format:
```
Re2AgRu
1.0
4.8510 -0.0005 -0.0002
4.0746 2.6324 -0.0002
0.8291 0.2445 4.7948
Ag Re Ru
1 2 1
Cartesian
2.4308 0.7168 1.2150 Ag
0.9033 0.2664 4.6795 Re
7.3619 2.1708 3.5950 Re
4.7651 1.4051 2.4971 Ru
```

Output
SG = Cm (8)
magnetization = 0.00 μB/cell
energy = -35.3 eV per formula unit
DFT formation energy = 1.69 eV/f.u.


Below is an optimized crystal structure of ReAgRu2, with properties calculated at the PBE-GGA level.

The structure in POSCAR format:
```
ReAgRu2
1.0
3.7654 0.0000 0.0000
0.0000 3.9786 0.0000
0.0000 0.0000 3.9786
Ag Re Ru
1 1 2
Cartesian
1.8827 1.9893 0.0000 Ag
1.8827 0.0000 1.9893 Re
0.0000 0.0000 0.0000 Ru
0.0000 1.9893 1.9893 Ru
```

Output
SG = P4/mmm (123)
magnetization = 0.19 μB/cell
energy = -31.5 eV per formula unit
DFT formation energy = 2.37 eV/f.u.


Below is an optimized crystal structure of ReAgRu, with properties calculated at the PBE-GGA level.

The structure in POSCAR format:
```
ReAgRu
1.0
4.9166 0.0156 -0.0079
2.6238 4.1580 0.0079
-3.4227 -2.7147 2.2559
Ag Re Ru
1 1 1
Cartesian
0.0010 0.0006 0.0000 Ag
2.4065 1.3320 0.0000 Re
5.1330 2.8410 0.0000 Ru
```

Output
SG = Imm2 (44)
magnetization = 0.00 μB/cell
energy = -23.2 eV per formula unit
DFT formation energy = 1.36 eV/f.u.


Below is an optimized crystal structure of ReAgRu2, with properties calculated at the PBE-GGA level.

The structure in POSCAR format:
```
ReAgRu2
1.0
-0.9940 1.7035 -9.1255
-2.1887 -0.7855 -9.0419
-3.6648 1.4753 -8.4591
Ag Re Ru
1 1 2
Cartesian
-1.7119 0.5983 -6.6566 Ag
-5.1356 1.7950 -19.9699 Re
-0.0436 0.0152 -0.1696 Ru
-3.3801 1.1814 -13.1437 Ru
```

Output
SG = R-3m (166)
magnetization = 0.00 μB/cell
energy = -33.1 eV per formula unit
DFT formation energy = 0.74 eV/f.u.


Below is an optimized crystal structure of ReAgRu, with properties calculated at the PBE-GGA level.

The structure in POSCAR format:
```
ReAgRu
1.0
-0.8229 -2.3256 -1.2656
-0.5856 0.4014 2.6802
-6.0574 3.1179 -1.7904
Ag Re Ru
1 1 1
Cartesian
-6.0471 3.1126 -1.7873 Ag
-2.9067 -0.3033 -0.5896 Re
-4.5694 1.5023 0.2108 Ru
```

Output
SG = P3m1 (156)
magnetization = 0.00 μB/cell
energy = -23.9 eV per formula unit
DFT formation energy = 0.72 eV/f.u.